Record 1
Computed, not measured: Pr6Nd2Tl after structural relaxation at the PBE level of DFT.

a b c (Å): 11.597 6.578 11.597
angles (deg): 106.39 47.61 106.39
Element x y z (fractional)
Nd 0.827 0.415 0.673
Nd 0.173 0.585 0.327
Nd 0.673 0.915 0.827
Nd 0.327 0.085 0.173
Tl 0.750 0.750 0.250
Tl 0.250 0.250 0.750
Pr 0.495 0.058 0.350
Pr 0.505 0.942 0.650
Pr 0.994 0.786 0.850
Pr 0.650 0.442 0.505
Pr 0.850 0.286 0.994
Pr 0.917 0.916 0.417
Pr 0.583 0.584 0.083
Pr 0.006 0.214 0.150
Pr 0.417 0.416 0.917
Pr 0.350 0.558 0.495
Pr 0.083 0.084 0.583
Pr 0.150 0.714 0.006

ΔH_f (0 K): -0.020 eV per atom
excess energy over the best structure of this formula in the dataset: 0.0189 eV/atom

=====

Record 2
Computed, not measured: GdDyGaRu after structural relaxation at the PBE level of DFT.

a b c (Å): 4.955 4.955 4.955
angles (deg): 60.00 60.00 60.00
Last column: magnetic moment on the atom in μB.
Element x y z (fractional)
Dy 0.000 0.000 0.000  -0.01
Ru 0.750 0.750 0.750  0.08
Ga 0.250 0.250 0.250  0.00
Gd 0.500 0.500 0.500  -7.02

ΔH_f (0 K): -0.433 eV per atom

=====

Record 3
Computed, not measured: AcPmMgZn after structural relaxation at the PBE level of DFT.

a b c (Å): 3.849 3.849 7.931
angles (deg): 90.00 90.00 90.00
Element x y z (fractional)
Pm 0.000 0.000 0.334
Mg 0.500 0.500 0.582
Zn 0.500 0.500 0.137
Ac 0.000 0.000 0.875

ΔH_f (0 K): -0.177 eV per atom
excess energy over the best structure of this formula in the dataset: 0.0000 eV/atom

=====

Record 4
Computed, not measured: CrSb2Te after structural relaxation at the PBE level of DFT.

a b c (Å): 6.377 6.377 8.197
angles (deg): 67.11 67.11 90.00
Last column: magnetic moment on the atom in μB.
Element x y z (fractional)
Sb 0.569 0.125 0.250  -0.10
Sb 0.375 0.431 0.750  -0.09
Sb 0.875 0.819 0.750  -0.10
Sb 0.181 0.625 0.250  -0.10
Te 0.000 0.000 0.000  0.20
Te 0.750 0.250 0.500  0.20
Cr 0.250 0.750 0.500  3.44
Cr 0.500 0.500 0.000  3.44

formation energy without anion corrections: 0.42 eV per atom
excess energy over the best structure of this formula in the dataset: 0.3278 eV/atom

=====

Record 5
Computed, not measured: TcNiAs3 after structural relaxation at the PBE level of DFT.

a b c (Å): 4.546 4.546 4.546
angles (deg): 90.00 90.00 90.00
Last column: magnetic moment on the atom in μB.
Element x y z (fractional)
As 0.000 0.000 0.500  -0.09
As 0.500 0.000 0.000  -0.10
As 0.000 0.500 0.000  -0.11
Tc 0.500 0.500 0.500  2.28
Ni 0.000 0.000 0.000  -0.08

ΔH_f (0 K): 0.803 eV per atom
excess energy over the best structure of this formula in the dataset: 0.0000 eV/atom

=====

Record 6
Computed, not measured: LiTlN2 after structural relaxation at the PBE level of DFT.

a b c (Å): 4.021 4.021 6.914
angles (deg): 73.10 73.10 90.00
Element x y z (fractional)
N 0.491 0.125 0.250
N 0.875 0.741 0.750
N 0.259 0.625 0.250
N 0.375 0.509 0.750
Tl 0.000 0.000 0.000
Tl 0.750 0.250 0.500
Li 0.500 0.500 0.000
Li 0.250 0.750 0.500

formation energy without anion corrections: 1.04 eV per atom
excess energy over the best structure of this formula in the dataset: 0.0000 eV/atom

=====

no.,raw total energy (eV per cell),density of states at the Fermi level (states/eV/cell)
1,-81.51,24.3
2,-32.72,2.2
3,-12.43,4.6
4,-38.63,1.6
5,-26.08,3.6
6,-33.51,2.2